(1)
Here is a geometry-optimized Tb2NdHo2Mg structure from the Alexandria database. Energies are from GGA-PBE.

Output
Total magnetization   0.00 μB/f.u.
ρ   7.17 Mg/m³
Raw total energy   -4.031 eV/atom
Energy of formation from the pure elements   0.099 eV/atom

Cell: 3.666 5.526 18.666 Å, 90.00 90.00 90.00°
Space group Immm (No. 71)
Inequivalent atoms, fractional coordinates:
Tb (0.000, 0.000, 0.185) x4
Nd (0.000, 0.500, 0.500) x2
Ho (0.000, 0.000, 0.365) x4
Mg (0.000, 0.500, 0.000) x2

=====

(2)
Here is a geometry-optimized TbNd2Ho2Mg structure from the Alexandria database. Energies are from GGA-PBE.

Output
Total magnetization   0.00 μB/f.u.
ρ   7.09 Mg/m³
Raw total energy   -4.047 eV/atom
Energy of formation from the pure elements   0.106 eV/atom

Cell: 6.864 9.859 5.549 Å, 90.00 90.00 90.00°
Space group Pnnm (No. 58)
Inequivalent atoms, fractional coordinates:
Tb (0.000, 0.000, 0.000) x2
Nd (0.245, 0.328, 0.000) x4
Ho (0.246, 0.659, 0.000) x4
Mg (0.000, 0.500, 0.500) x2

=====

(3)
Here is a geometry-optimized Tb3Nd6Ho2Mg structure from the Alexandria database. Energies are from GGA-PBE.

Output
Total magnetization   0.00 μB/f.u.
ρ   7.18 Mg/m³
Raw total energy   -4.416 eV/atom
Energy of formation from the pure elements   0.022 eV/atom

Cell: 6.245 10.827 11.801 Å, 90.00 100.23 90.00°
Space group C2/m (No. 12)
Inequivalent atoms, fractional coordinates:
Tb (0.000, 0.000, 0.000) x2
Tb (0.000, 0.333, 0.000) x4
Nd (0.248, 0.334, 0.747) x8
Nd (0.249, 0.000, 0.749) x4
Ho (0.000, 0.166, 0.500) x4
Mg (0.000, 0.500, 0.500) x2

=====

(4)
Here is a geometry-optimized Tb2Nd4HoMg structure from the Alexandria database. Energies are from GGA-PBE.

Output
Total magnetization   0.00 μB/f.u.
ρ   6.96 Mg/m³
Raw total energy   -4.306 eV/atom
Energy of formation from the pure elements   0.007 eV/atom

Cell: 5.083 5.083 10.009 Å, 90.00 90.00 90.00°
Space group P4/mmm (No. 123)
Inequivalent atoms, fractional coordinates:
Tb (0.000, 0.000, 0.000) x1
Tb (0.500, 0.500, 0.500) x1
Nd (0.000, 0.500, 0.246) x4
Ho (0.000, 0.000, 0.500) x1
Mg (0.500, 0.500, 0.000) x1

=====

(5)
Here is a geometry-optimized Tb6Nd2Ho3Mg structure from the Alexandria database. Energies are from GGA-PBE.

Output
Total magnetization   0.00 μB/f.u.
ρ   7.73 Mg/m³
Raw total energy   -4.369 eV/atom
Energy of formation from the pure elements   0.018 eV/atom

Cell: 6.137 10.640 11.764 Å, 90.00 100.10 90.00°
Space group C2/m (No. 12)
Inequivalent atoms, fractional coordinates:
Tb (0.248, 0.000, 0.247) x4
Tb (0.249, 0.166, 0.752) x8
Nd (0.000, 0.333, 0.500) x4
Ho (0.000, 0.166, 0.000) x4
Ho (0.000, 0.500, 0.000) x2
Mg (0.000, 0.000, 0.500) x2

=====

(6)
Here is a geometry-optimized TbNd2HoMg structure from the Alexandria database. Energies are from GGA-PBE.

Output
Total magnetization   0.00 μB/f.u.
ρ   6.55 Mg/m³
Raw total energy   -3.904 eV/atom
Energy of formation from the pure elements   0.164 eV/atom

Cell: 5.946 7.508 7.226 Å, 90.00 90.00 90.00°
Space group Pmma (No. 51)
Inequivalent atoms, fractional coordinates:
Tb (0.250, 0.000, 0.124) x2
Nd (0.250, 0.286, 0.808) x4
Ho (0.250, 0.500, 0.350) x2
Mg (0.000, 0.000, 0.500) x2

=====

(7)
Here is a geometry-optimized Tb2Nd6HoMg structure from the Alexandria database. Energies are from GGA-PBE.

Output
Total magnetization   0.00 μB/f.u.
ρ   6.82 Mg/m³
Raw total energy   -4.289 eV/atom
Energy of formation from the pure elements   0.115 eV/atom

Cell: 9.333 14.963 9.682 Å, 90.00 98.52 90.00°
Space group C2/c (No. 15)
Inequivalent atoms, fractional coordinates:
Tb (0.247, 0.048, 0.052) x8
Nd (0.059, 0.181, 0.449) x8
Nd (0.103, 0.400, 0.612) x8
Nd (0.216, 0.217, 0.806) x8
Ho (0.000, 0.020, 0.750) x4
Mg (0.000, 0.408, 0.250) x4

=====

(8)
Here is a geometry-optimized Nd2HoMgTe5 structure from the Alexandria database. Energies are from GGA-PBE.

Output
Total magnetization   0.00 μB/f.u.
ρ   6.60 Mg/m³
Raw total energy   -4.729 eV/atom
Uncorrected formation energy   -1238 meV per atom

Cell: 4.344 19.047 13.562 Å, 90.00 90.00 90.00°
Space group Cmc2_1 (No. 36)
Inequivalent atoms, fractional coordinates:
Nd (0.000, 0.112, 0.000) x4
Nd (0.000, 0.134, 0.621) x4
Ho (0.000, 0.205, 0.330) x4
Mg (0.000, 0.445, 0.774) x4
Te (0.000, 0.050, 0.394) x4
Te (0.000, 0.283, 0.988) x4
Te (0.000, 0.311, 0.667) x4
Te (0.000, 0.363, 0.317) x4
Te (0.000, 0.496, 0.095) x4

=====

(9)
Here is a geometry-optimized NdHoThMg structure from the Alexandria database. Energies are from GGA-PBE.

Output
Total magnetization   0.00 μB/f.u.
ρ   7.70 Mg/m³
Raw total energy   -4.494 eV/atom
Energy of formation from the pure elements   0.096 eV/atom
Relative energy among the computed polymorphs   140 meV per atom

Cell: 7.873 7.873 7.873 Å, 90.00 90.00 90.00°
Space group F-43m (No. 216)
Inequivalent atoms, fractional coordinates:
Nd (0.000, 0.000, 0.000) x4
Ho (0.250, 0.250, 0.250) x4
Th (0.000, 0.000, 0.500) x4
Mg (0.250, 0.250, 0.750) x4

=====

(10)
Here is a geometry-optimized NdHoThMg structure from the Alexandria database. Energies are from GGA-PBE.

Output
Total magnetization   0.00 μB/f.u.
ρ   7.74 Mg/m³
Raw total energy   -4.634 eV/atom
Energy of formation from the pure elements   -0.044 eV/atom
Relative energy among the computed polymorphs   0 meV per atom

Cell: 3.611 3.611 9.307 Å, 90.00 90.00 90.00°
Space group P4mm (No. 99)
Inequivalent atoms, fractional coordinates:
Nd (0.000, 0.000, 0.000) x1
Ho (0.000, 0.000, 0.482) x1
Th (0.500, 0.500, 0.736) x1
Mg (0.500, 0.500, 0.250) x1

=====

(11)
Here is a geometry-optimized NdHoMgTi structure from the Alexandria database. Energies are from GGA-PBE.

Output
Total magnetization   1.91 μB/f.u.
ρ   6.01 Mg/m³
Raw total energy   -4.562 eV/atom
Energy of formation from the pure elements   0.147 eV/atom

Cell: 7.496 7.496 7.496 Å, 90.00 90.00 90.00°
Space group F-43m (No. 216)
Inequivalent atoms, fractional coordinates:
Nd (0.000, 0.000, 0.000) x4
Ho (0.000, 0.000, 0.500) x4
Mg (0.250, 0.250, 0.750) x4
Ti (0.250, 0.250, 0.250) x4

=====

(12)
Here is a geometry-optimized NdHoMgTl structure from the Alexandria database. Energies are from GGA-PBE.

Output
Total magnetization   0.00 μB/f.u.
ρ   7.97 Mg/m³
Raw total energy   -3.568 eV/atom
Energy of formation from the pure elements   -0.241 eV/atom

Cell: 7.653 7.653 7.653 Å, 90.00 90.00 90.00°
Space group F-43m (No. 216)
Inequivalent atoms, fractional coordinates:
Nd (0.000, 0.000, 0.000) x4
Ho (0.000, 0.000, 0.500) x4
Mg (0.250, 0.250, 0.750) x4
Tl (0.250, 0.250, 0.250) x4